No. 1
# Ho12Co6Ag, relaxed, DFT PBE
# Calculated volume in Å³/atom: 23.1
# M_tot in μB per formula unit: 0.0
# VASP energy in eV for the cell shown: -209.24
# ΔH_f (0 K) in kcal/mol of atoms: -5.10
data_Ho12Co6Ag
_chemical_formula_sum 'Ho24 Co12 Ag2'
_cell_length_a 9.5743
_cell_length_b 9.5743
_cell_length_c 9.5743
_cell_angle_alpha 90.00
_cell_angle_beta 90.00
_cell_angle_gamma 90.00
_space_group_name_H-M_alt 'I m -3'
_space_group_IT_number 204
_space_group_name_Hall '-I 2 2 3'
loop_
_atom_site_label
_atom_site_type_symbol
_atom_site_fract_x
_atom_site_fract_y
_atom_site_fract_z
Ho1 Ho 0.0000 0.3025 0.1946
Co1 Co 0.0000 0.1140 0.5000
Ag1 Ag 0.0000 0.0000 0.0000

No. 2
# Ag6Br, relaxed, DFT PBE
# Calculated volume in Å³/atom: 30.7
# Formation energy from raw total energies in meV/atom: 629
# M_tot in μB per formula unit: 0.0
# VASP energy in eV for the cell shown: -28.76
data_Ag6Br
_chemical_formula_sum 'Ag12 Br2'
_cell_length_a 7.5437
_cell_length_b 7.5437
_cell_length_c 7.5437
_cell_angle_alpha 90.00
_cell_angle_beta 90.00
_cell_angle_gamma 90.00
_space_group_name_H-M_alt 'I m -3 m'
_space_group_IT_number 229
_space_group_name_Hall '-I 4 2 3'
loop_
_atom_site_label
_atom_site_type_symbol
_atom_site_fract_x
_atom_site_fract_y
_atom_site_fract_z
Ag1 Ag 0.0000 0.2500 0.5000
Br1 Br 0.0000 0.0000 0.0000

No. 3
# Cu2Au, relaxed, DFT PBE
# Calculated volume in Å³/atom: 17.7
# M_tot in μB per formula unit: 0.0
# VASP energy in eV for the cell shown: -10.69
# Offset from the most stable computed form in meV per atom: 297
# ΔH_f (0 K) in kcal/mol of atoms: 5.99
data_Cu2Au
_chemical_formula_sum 'Cu2 Au1'
_cell_length_a 4.2938
_cell_length_b 4.2938
_cell_length_c 2.8727
_cell_angle_alpha 90.00
_cell_angle_beta 90.00
_cell_angle_gamma 90.00
_space_group_name_H-M_alt 'P 4/m m m'
_space_group_IT_number 123
_space_group_name_Hall '-P 4 2'
loop_
_atom_site_label
_atom_site_type_symbol
_atom_site_fract_x
_atom_site_fract_y
_atom_site_fract_z
Cu1 Cu 0.0000 0.5000 0.0000
Au1 Au 0.0000 0.0000 0.5000